LiS5F (PBE-GGA, optimized geometry); DFT total energy = -28.00 eV per cell; energy relative to the elements, uncorrected = -0.51 eV/atom; V = 29.51 Å³/atom; magnetic moment = 0.00 μB per atom
1.0
6.536 0.712 -3.400
0.335 3.234 -2.146
-0.612 1.871 9.007
Li S F
1 5 1
Cartesian
5.105 2.857 2.355
6.249 3.843 -4.619
0.827 2.516 0.384
0.955 0.556 -0.193
2.597 3.512 3.639
1.392 1.919 5.167
5.261 4.459 1.257


Li12S3F5 (PBE-GGA, optimized geometry); DFT total energy = -334.89 eV per cell; energy relative to the elements, uncorrected = -1.95 eV/atom; V = 13.32 Å³/atom; magnetic moment = 0.00 μB per atom
1.0
11.146 0.000 0.000
-3.715 10.509 0.000
-3.715 -5.254 9.101
S F Li
12 20 48
Cartesian
6.502 3.284 1.138
6.502 7.225 1.138
-0.929 4.597 5.688
0.929 -0.657 3.413
8.359 0.000 2.275
0.929 5.254 2.275
2.786 0.000 6.825
-4.644 5.254 6.825
2.786 5.911 5.688
4.644 0.657 3.413
-2.786 -1.970 7.963
-2.786 1.970 7.963
-0.929 2.627 2.275
-1.858 5.254 0.000
0.000 0.000 0.000
2.786 1.970 1.138
3.715 -2.627 4.550
3.715 5.254 0.000
-2.786 5.911 3.413
4.644 -3.284 7.963
4.644 4.597 3.413
0.929 -2.627 6.825
2.786 7.881 2.275
1.858 2.627 4.550
5.573 0.000 0.000
-1.858 -2.627 4.550
-0.929 0.657 5.688
-0.929 8.538 1.138
-3.715 2.627 4.550
6.502 -0.657 5.688
0.929 3.284 7.963
4.644 2.627 6.825
7.330 1.181 0.267
0.101 3.449 3.661
8.355 2.394 2.641
4.649 1.537 1.157
1.330 3.884 6.192
7.928 5.333 1.642
-0.924 6.111 3.798
-2.791 8.972 1.157
0.528 6.625 6.192
5.076 5.175 1.642
5.674 2.986 3.394
5.674 9.327 0.267
-3.187 4.677 4.818
2.355 3.793 0.752
-3.816 7.522 3.394
1.959 -1.805 5.440
-0.528 0.793 1.909
2.355 6.636 0.889
4.649 8.115 2.641
-0.497 3.872 0.889
-2.386 6.048 7.192
2.782 4.397 3.798
5.045 5.831 4.818
4.212 -1.461 8.348
0.934 0.857 5.303
-1.330 -0.577 4.283
-0.497 6.715 0.752
-0.934 -2.860 6.459
6.101 -0.793 1.909
4.212 1.382 8.211
1.361 -1.382 8.211
1.757 7.059 3.661
4.243 4.461 7.192
7.532 -2.268 5.707
6.903 0.577 4.283
-1.959 -4.073 8.833
1.361 1.461 8.348
3.187 -1.371 2.909
-1.361 0.079 7.459
-1.959 2.268 5.707
6.507 -3.718 7.944
4.639 -0.857 5.303
-0.934 3.718 7.944
-4.212 -0.079 7.459
2.386 1.371 2.909
-4.639 2.860 6.459
3.614 1.805 5.440
-3.614 4.073 8.833


Which value of magnetic moment does entry 2 give?
0.00 μB per atom